<1>
Below is a relaxed Ho2PuRu3 crystal, with properties calculated at the PBE-GGA level.

Cell lengths 7.4762, 7.4762, 6.7740 Å; angles 90.00, 90.00, 143.00 degrees
Closest atoms and distances in Å follow each position.
Fractional positions:
Ho1 0.0000 0.0000 0.5000  8 Ru 3.00-3.08, 4 Ho 3.33
Ru1 0.5000 0.5000 0.7703  6 Ho 2.84-3.00, 2 Pu 2.86, 1 Ru 3.11
Ho2 0.6646 0.3354 0.5000  8 Ru 2.95-3.01
Ho3 0.3354 0.6646 0.5000  8 Ru 2.95-3.01
Ru2 0.1735 0.8265 0.7738  3 Pu 2.71-2.82, 4 Ho 2.90-3.01
Ru3 0.8265 0.1735 0.2262  3 Pu 2.71-2.82, 4 Ho 2.90-3.01
Ho4 0.0000 0.0000 0.0000  8 Ru 2.84-2.90
Ru4 0.1735 0.8265 0.2262  3 Pu 2.71-2.82, 4 Ho 2.90-3.01
Pu1 0.3309 0.6691 0.0000  8 Ru 2.71-2.86
Ru5 0.8265 0.1735 0.7738  3 Pu 2.71-2.82, 4 Ho 2.90-3.01
Ru6 0.5000 0.5000 0.2297  6 Ho 2.84-3.00, 2 Pu 2.86, 1 Ru 3.11
Pu2 0.6691 0.3309 0.0000  8 Ru 2.71-2.86

Calculated values
Space group ... Cmmm (65)
DOS at the Fermi energy ... 10.902 states/eV/f.u.

***

<2>
Below is a relaxed Ho2PuRu3 crystal, with properties calculated at the PBE-GGA level.

Cell lengths 3.2848, 5.5383, 7.5534 Å; angles 111.51, 102.56, 90.00 degrees
Closest atoms and distances in Å follow each position.
Fractional positions:
Pu1 0.0000 0.5000 0.0000  6 Ru 2.63-2.77
Ho1 0.3317 0.8317 0.6633  6 Ru 2.78-2.97
Ru1 0.3492 0.3492 0.6985  2 Pu 2.63, 2 Ho 2.78
Ru2 0.6508 0.6508 0.3015  2 Pu 2.63, 2 Ho 2.78
Ru3 0.0000 0.0000 0.0000  2 Pu 2.77, 4 Ho 2.83
Ho2 0.6683 0.1683 0.3367  6 Ru 2.78-2.97

Calculated values
Space group ... Immm (71)
DOS at the Fermi energy ... 8.342 states/eV/f.u.

***

Here are the energies relative to the best structure, in eV/atom: <1> 0.000; <2> 0.167.

***

<1>
Below is a relaxed HoPuRu crystal, with properties calculated at the PBE-GGA level.

Cell lengths 3.3437, 3.3437, 6.6830 Å; angles 104.49, 104.49, 90.00 degrees
Closest atoms and distances in Å follow each position.
Fractional positions:
Ru1 0.6667 0.6667 0.3334  4 Pu 2.91, 4 Ho 2.91
Pu1 0.3026 0.3026 0.6052  4 Ru 2.91
Ho1 0.0307 0.0307 0.0614  4 Ru 2.91

Calculated values
Space group ... I4mm (107)
DOS at the Fermi energy ... 7.473 states/eV/f.u.

***

<2>
Below is a relaxed HoPuRu crystal, with properties calculated at the PBE-GGA level.

Cell lengths 3.3798, 6.4405, 6.7885 Å; angles 104.17, 90.01, 74.79 degrees
Closest atoms and distances in Å follow each position.
Fractional positions:
Ho1 0.6996 0.7913 0.5812  4 Ru 2.94, 1 Ho 3.28
Ru1 0.0644 0.0613 0.9066  4 Pu 2.89-2.91, 4 Ho 2.94
Ru2 0.0617 0.0671 0.3895  4 Pu 2.89-2.91, 4 Ho 2.94-2.95
Pu1 0.4215 0.3471 0.2133  4 Ru 2.89-2.91
Pu2 0.7047 0.7812 0.0827  4 Ru 2.89-2.91
Ho2 0.4265 0.3371 0.7149  4 Ru 2.94-2.95, 1 Ho 3.28

Calculated values
Space group ... C2/m (12)
DOS at the Fermi energy ... 7.457 states/eV/f.u.

***

Here are the energies relative to the best structure, in eV/atom: <1> 0.012; <2> 0.000.

***

<1>
Below is a relaxed HoPuRu crystal, with properties calculated at the PBE-GGA level.

Cell lengths 3.3995, 4.7203, 4.7203 Å; angles 120.00, 90.00, 90.00 degrees
Closest atoms and distances in Å follow each position.
Fractional positions:
Ho1 0.6666 0.6667 0.3333  6 Pu 3.21, 6 Ru 3.21, 2 Ho 3.40
Pu1 0.1668 0.3333 0.6667  3 Ru 2.73
Ru1 0.1666 0.0000 0.0000  3 Pu 2.73

Calculated values
Space group ... P-6m2 (187)
DOS at the Fermi energy ... 7.544 states/eV/f.u.

***

<2>
Below is a relaxed HoPuRu crystal, with properties calculated at the PBE-GGA level.

Cell lengths 4.7394, 4.7394, 4.7394 Å; angles 60.00, 60.00, 60.00 degrees
Closest atoms and distances in Å follow each position.
Fractional positions:
Pu1 0.0000 0.0000 0.0000  4 Ru 2.90
Ho1 0.5000 0.5000 0.5000  4 Ru 2.90
Ru1 0.2500 0.2500 0.2500  4 Ho 2.90, 4 Pu 2.90

Calculated values
Space group ... F-43m (216)
DOS at the Fermi energy ... 10.144 states/eV/f.u.

***

Here are the energies relative to the best structure, in eV/atom: <1> 0.007; <2> 0.000.

***

<1>
Below is a relaxed HoPuTlRu crystal, with properties calculated at the PBE-GGA level.

Cell lengths 5.0822, 5.0822, 5.0822 Å; angles 60.00, 60.00, 60.00 degrees
Closest atoms and distances in Å follow each position.
Fractional positions:
Ru1 0.7500 0.7500 0.7500  4 Ho 3.11, 4 Pu 3.11
Pu1 0.0000 0.0000 0.0000  4 Ru 3.11, 4 Tl 3.11
Tl1 0.2500 0.2500 0.2500  4 Ho 3.11, 4 Pu 3.11
Ho1 0.5000 0.5000 0.5000  4 Tl 3.11, 4 Ru 3.11

Calculated values
Space group ... F-43m (216)
DOS at the Fermi energy ... 8.503 states/eV/f.u.

***

<2>
Below is a relaxed HoPuTlRu crystal, with properties calculated at the PBE-GGA level.

Cell lengths 3.3388, 3.3388, 8.3909 Å; angles 90.00, 90.00, 90.00 degrees
Closest atoms and distances in Å follow each position.
Fractional positions:
Tl1 0.0000 0.0000 0.0698  4 Tl 3.34, 4 Ho 3.41, 4 Pu 3.44
Ho1 0.5000 0.5000 0.7760  4 Ru 2.92
Pu1 0.5000 0.5000 0.3676  4 Ru 2.91
Ru1 0.0000 0.0000 0.5713  4 Pu 2.91, 4 Ho 2.92

Calculated values
Space group ... P4mm (99)
DOS at the Fermi energy ... 7.398 states/eV/f.u.

***

Here are the energies relative to the best structure, in eV/atom: <1> 0.222; <2> 0.000.